No. 1
16
Lattice="6.7857 0.0000 0.0000 0.0000 7.4203 0.0000 0.0000 0.0000 10.5258" Properties=species:S:1:pos:R:3 comment="Ac2NdNi, relaxed, DFT PBE-GGA" space_group="No. 62" e_above_lowest_polymorph_mev_per_atom=0 ef_ev_per_atom=-0.129 pbc="T T T"
Ac 4.5753 6.1102 9.7872
Ac 4.5753 6.1102 6.0015
Ac 2.2104 1.3101 0.7386
Ac 5.6033 2.4000 6.0015
Ac 1.1824 5.0203 4.5243
Ac 5.6033 2.4000 9.7872
Ac 1.1824 5.0203 0.7386
Ac 2.2104 1.3101 4.5243
Ni 0.3553 2.8089 2.6314
Ni 3.0376 6.5191 2.6314
Ni 6.4305 4.6114 7.8943
Ni 3.7481 0.9013 7.8943
Nd 2.2931 3.4066 7.8943
Nd 1.0998 7.1168 7.8943
Nd 4.4926 4.0137 2.6314
Nd 5.6860 0.3035 2.6314

=====

No. 2
5
Lattice="-2.7686 -0.7519 4.1634 -2.9403 -2.4393 -2.3957 2.6516 -4.1855 1.0074" Properties=species:S:1:pos:R:3 comment="Y2MgBSb, relaxed, DFT PBE-GGA" space_group="No. 123" raw_formation_energy_ev_per_atom=-0.4918 pbc="T T T"
Y 1.3258 -2.0928 0.5037
Y -1.3843 -0.3759 2.0817
B 0.0000 0.0000 0.0000
Sb -1.5286 -3.6883 1.3875
Mg -1.4701 -1.2196 -1.1978

=====

No. 3
7
Lattice="-1.9370 1.5617 -3.2324 -5.9212 -3.2230 1.9910 2.1681 5.7872 4.0707" Properties=species:S:1:pos:R:3 comment="U2PdSe4, relaxed, DFT PBE-GGA" space_group="No. 12" raw_formation_energy_ev_per_atom=-0.9229 e_above_lowest_polymorph_mev_per_atom=0 pbc="T T T"
Se -1.2282 5.1187 0.6351
Se -4.4619 -0.9927 2.1941
Se -2.3750 1.4988 -0.4266
Se -3.3151 2.6272 3.2558
Pd 0.0000 0.0000 0.0000
U -0.8952 2.5387 1.7630
U -4.7948 1.5872 1.0662

=====

No. 4
11
Lattice="-2.0201 -4.4208 -0.2311 7.1165 -3.2841 0.6152 -2.5184 3.4379 7.4794" Properties=species:S:1:pos:R:3 comment="Tm8Ga2Pb, relaxed, DFT PBE-GGA" space_group="No. 12" ef_ev_per_atom=-0.290 pbc="T T T"
Tm -2.2404 -2.0017 6.6488
Tm 0.5506 -0.3868 2.5861
Tm -1.8878 0.6153 4.7332
Tm 1.0197 -0.7896 6.1921
Tm 4.8184 -2.2653 1.2148
Tm 4.4658 -4.8823 3.1304
Tm 2.0274 -3.8802 5.2775
Tm 1.5583 -3.4774 1.6715
Ga 3.1369 -1.6216 3.5995
Ga -0.5589 -2.6454 4.2641
Pb -1.0101 -2.2104 -0.1155

=====

No. 5
11
Lattice="5.3183 0.0000 0.0000 -2.6591 5.9183 -0.1380 0.0000 -2.3811 7.1100" Properties=species:S:1:pos:R:3 comment="Hf5VGe5, relaxed, DFT PBE-GGA" space_group="No. 12" ef_ev_per_atom=-0.263 pbc="T T T"
V 0.0000 0.0000 0.0000
Hf 2.6591 -0.1021 5.7510
Hf 0.0000 3.6392 1.2210
Hf 0.0000 -1.1906 3.5550
Hf 0.0000 2.2295 4.6492
Hf 2.6591 1.3076 2.3228
Ge 2.6591 2.3944 4.7406
Ge 2.6591 3.6141 0.9778
Ge 0.0000 1.1428 2.2314
Ge 2.6591 0.0000 0.0000
Ge 0.0000 -0.0770 5.9942

=====

No. 6
6
Lattice="6.3792 0.0000 0.0000 3.1896 5.5245 0.0000 3.1896 1.8415 5.2086" Properties=species:S:1:pos:R:3 comment="AcGdSb4, relaxed, DFT PBE-GGA" space_group="No. 216" raw_formation_energy_ev_per_atom=-0.3405 pbc="T T T"
Sb 4.7764 4.6084 3.2586
Sb 7.9820 4.6084 3.2586
Sb 6.3792 3.6830 0.6413
Sb 6.3792 1.8323 3.2586
Gd 0.0000 0.0000 0.0000
Ac 3.1896 1.8415 1.3021

=====

No. 7
5
Lattice="-3.7698 -1.2914 3.4968 3.2564 -3.5612 2.1955 1.8141 3.7090 3.3255" Properties=species:S:1:pos:R:3 comment="AgPBr3, relaxed, DFT PBE-GGA" space_group="No. 221" raw_formation_energy_ev_per_atom=0.5848 e_above_lowest_polymorph_mev_per_atom=847 pbc="T T T"
Br -1.8849 -0.6457 1.7484
Br 0.9070 1.8545 1.6627
Br 1.6282 -1.7806 1.0977
Ag 0.0000 0.0000 0.0000
P 0.6504 -0.5718 4.5088

=====

No. 8
4
Lattice="-0.0997 -2.2540 3.1717 3.8910 -0.0492 0.0874 -0.0208 6.2735 4.4577" Properties=species:S:1:pos:R:3 comment="AcCdIn2, relaxed, DFT PBE-GGA" space_group="No. 123" e_above_lowest_polymorph_mev_per_atom=149 ef_ev_per_atom=-0.225 pbc="T T T"
In -0.0043 1.2939 0.9194
In -0.0165 4.9796 3.5383
Ac 1.8852 1.9852 3.8584
Cd 1.8957 -1.1516 1.6295

=====

No. 9
4
Lattice="5.4810 0.0000 0.0000 2.7405 4.7466 0.0000 2.7405 1.5822 4.4752" Properties=species:S:1:pos:R:3 comment="NaEuInSb, relaxed, DFT PBE-GGA" space_group="No. 216" raw_formation_energy_ev_per_atom=-0.4381 pbc="T T T"
Eu 8.2214 4.7466 3.3564
Na 2.7405 1.5822 1.1188
In 5.4810 3.1644 2.2376
Sb 0.0000 0.0000 0.0000

=====

No. 10
18
Lattice="8.7138 0.0000 0.0000 0.0000 8.7138 0.0000 -4.3569 -4.3569 7.7158" Properties=species:S:1:pos:R:3 comment="NdHoEr5Th2, relaxed, DFT PBE-GGA" space_group="No. 140" ef_ev_per_atom=0.336 pbc="T T T"
Th 7.6737 5.3971 0.0000
Th 5.3971 1.0401 0.0000
Th 1.0401 3.3168 0.0000
Th 3.3168 7.6737 0.0000
Ho 4.3569 4.3569 3.8579
Ho 0.0000 0.0000 3.8579
Er 6.8958 2.5389 2.1566
Er 1.8180 6.1749 2.1566
Er 2.5389 1.8180 2.1566
Er -1.8180 -2.5389 5.5591
Er 4.3569 4.3569 0.0000
Er 2.5389 -1.8180 5.5591
Er 1.8180 2.5389 5.5591
Er 0.0000 0.0000 0.0000
Er -2.5389 1.8180 5.5591
Er 6.1749 6.8958 2.1566
Nd 0.0000 4.3569 3.8579
Nd 4.3569 0.0000 3.8579

=====

No. 11
5
Lattice="-1.8680 1.8680 5.3025 1.8680 -1.8680 5.3025 1.8680 1.8680 -5.3025" Properties=species:S:1:pos:R:3 comment="Al2Co2Ag, relaxed, DFT PBE-GGA" space_group="No. 139" e_above_lowest_polymorph_mev_per_atom=346 ef_ev_per_atom=0.133 pbc="T T T"
Co 0.0000 0.0000 4.1883
Co 0.0000 0.0000 6.4166
Al 0.0000 1.8680 2.6512
Al 1.8680 0.0000 2.6512
Ag 0.0000 0.0000 0.0000

=====

No. 12
11
Lattice="-5.7805 -2.3273 -2.5796 -0.7849 -3.9561 5.3276 -2.2836 5.2513 3.5628" Properties=species:S:1:pos:R:3 comment="Sc7Sb2Pb2, relaxed, DFT PBE-GGA" space_group="No. 65" raw_formation_energy_ev_per_atom=-0.2837 pbc="T T T"
Sc -7.1362 -0.7794 0.6581
Sc -4.6083 -1.4402 4.3962
Sc -4.2407 0.4081 1.9146
Sc -5.7460 1.2097 6.1444
Sc 0.0000 0.0000 0.0000
Sc -3.1031 -2.2418 0.1664
Sc -1.7129 -0.2526 5.6527
Sb -3.2568 3.1422 1.8536
Sb -5.5923 -4.1743 4.4572
Pb -1.9005 -1.4312 2.8477
Pb -6.9486 0.3992 3.4632

=====

No. 13
8
Lattice="4.0838 0.0000 0.0000 0.0000 4.0838 0.0000 2.0419 2.0419 9.9323" Properties=species:S:1:pos:R:3 comment="LaPd2S, relaxed, DFT PBE-GGA" space_group="No. 122" raw_formation_energy_ev_per_atom=-0.8665 pbc="T T T"
S 2.0419 4.0838 4.9661
S 2.0419 2.0419 0.0000
Pd 1.0819 3.0629 2.4831
Pd 3.0019 1.0210 2.4831
Pd 3.0629 3.1238 7.4492
Pd 5.1048 5.0439 7.4492
La 0.0000 0.0000 0.0000
La 4.0838 2.0419 4.9661

=====

No. 14
5
Lattice="4.1752 0.0000 0.0000 0.0000 4.1752 0.0000 0.0000 0.0000 4.0528" Properties=species:S:1:pos:R:3 comment="InRuN2O, relaxed, DFT PBE-GGA" space_group="No. 123" raw_formation_energy_ev_per_atom=1.7611 pbc="T T T"
O 0.0000 0.0000 2.0264
N 0.0000 2.0876 0.0000
N 2.0876 0.0000 0.0000
In 0.0000 0.0000 0.0000
Ru 2.0876 2.0876 2.0264

=====

No. 15
6
Lattice="-3.8759 -2.6493 -2.3464 -4.9779 0.7841 1.4673 -3.3191 2.4980 -3.2079" Properties=species:S:1:pos:R:3 comment="ReMo4Br, relaxed, DFT PBE-GGA" space_group="No. 216" raw_formation_energy_ev_per_atom=0.9910 pbc="T T T"
Mo -6.5039 -1.0912 -2.7077
Mo -4.5606 0.2371 -1.5312
Mo -6.2247 1.4896 -3.1396
Mo -7.0564 0.6303 -0.7956
Br 0.0000 0.0000 0.0000
Re -9.1296 0.4747 -3.0653

=====

No. 16
4
Lattice="3.4904 0.0000 0.0000 0.0000 3.4904 0.0000 0.0000 0.0000 10.4405" Properties=species:S:1:pos:R:3 comment="CaTb2Pa, relaxed, DFT PBE-GGA" space_group="No. 123" e_above_lowest_polymorph_mev_per_atom=0 ef_ev_per_atom=0.148 pbc="T T T"
Tb 0.0000 0.0000 2.2831
Tb 0.0000 0.0000 8.1573
Pa 1.7452 1.7452 0.0000
Ca 1.7452 1.7452 5.2202

=====

No. 17
8
Lattice="-1.1680 7.0073 -0.1987 -3.5545 -1.1093 6.0531 3.5386 0.6521 2.1974" Properties=species:S:1:pos:R:3 comment="K3Al5, relaxed, DFT PBE-GGA" space_group="No. 65" ef_ev_per_atom=0.491 pbc="T T T"
K 0.5520 1.8463 2.6078
K -2.3612 2.9490 2.9272
K -1.7358 4.7037 5.4441
Al 0.0932 5.6050 2.2313
Al -1.2770 0.9451 5.8206
Al 0.0000 0.0000 0.0000
Al -1.7772 -0.5547 3.0266
Al -0.5840 3.5036 -0.0993

=====

No. 18
9
Lattice="6.0260 0.1234 -0.4292 -0.4960 5.9930 -0.5700 0.0922 0.2437 6.0348" Properties=species:S:1:pos:R:3 comment="Y2Cd6In, relaxed, DFT PBE-GGA" space_group="No. 166" ef_ev_per_atom=-0.237 pbc="T T T"
Cd 0.8399 3.2210 4.6664
Cd 0.6444 5.1314 2.4719
Cd 3.0066 1.2695 4.7127
Cd 2.6156 5.0907 0.3229
Cd 4.9778 1.2288 2.5638
Cd 4.7823 3.1392 0.3692
In 0.0000 0.0000 0.0000
Y 3.7842 4.2790 3.3877
Y 1.8380 2.0812 1.6480

=====

No. 19
9
Lattice="5.4533 0.0000 -0.0001 2.7267 4.7227 0.0001 0.0001 -0.0003 5.7508" Properties=species:S:1:pos:R:3 comment="ZrTlTcO6, relaxed, DFT PBE-GGA" space_group="No. 143" raw_formation_energy_ev_per_atom=-1.7852 pbc="T T T"
Tc 2.7266 1.5741 3.0562
O 3.6421 2.8106 1.7654
O 3.3396 0.1631 1.7653
O 1.1980 1.7488 1.7654
O 2.1818 0.0929 3.9836
O 4.2818 1.8429 3.9837
O 1.7163 2.7865 3.9837
Tl 5.4531 0.0000 0.0901
Zr 5.4532 3.1484 2.6093

=====

No. 20
5
Lattice="4.5907 0.0000 0.0000 0.0000 4.8425 0.0000 0.0000 0.0000 4.5907" Properties=species:S:1:pos:R:3 comment="MgCdSiW2, relaxed, DFT PBE-GGA" space_group="No. 123" raw_formation_energy_ev_per_atom=1.0990 pbc="T T T"
W 2.2953 0.0000 0.0000
W 0.0000 0.0000 2.2953
Mg 2.2953 2.4213 2.2953
Si 0.0000 0.0000 0.0000
Cd 0.0000 2.4213 0.0000